a:
# ScSi2Cl

An optimized crystal structure of ScSi2Cl (PBE, the Alexandria database).

Cell: 3.132 4.665 4.999 Å, 90.00 90.00 90.00°
Space group Pmmm (No. 47)
Inequivalent atoms, fractional coordinates:
Sc: 0.000 0.000 0.000 x1
Si: 0.500 0.500 0.236 x2
Cl: 0.000 0.000 0.500 x1

Magnetic moment ... 0.0 μB/f.u.
Volume ... 73.0 Å³ per cell
Calculated density ... 3.11 g cm⁻³

***

b:
# ScSi2Cl

An optimized crystal structure of ScSi2Cl (PBE, the Alexandria database).

Cell: 3.159 3.159 8.466 Å, 90.00 90.00 90.00°
Space group P4mm (No. 99)
Inequivalent atoms, fractional coordinates:
Sc: 0.000 0.000 0.000 x1
Si: 0.000 0.000 0.369 x1
Si: 0.500 0.500 0.218 x1
Cl: 0.500 0.500 0.815 x1

Magnetic moment ... 0.0 μB/f.u.
Volume ... 84.5 Å³ per cell
Calculated density ... 2.68 g cm⁻³

***

Most favorable structure: b. The second most favorable one is 23.2 kJ/mol of atoms above it.